# 1
A relaxed structure of CaRhF4, computed with PBE.

Properties
Final energy = -30.94 eV per formula unit
Formation energy without anion corrections = -2351 meV/atom

Cell lengths 5.7496, 5.7496, 4.8993 Å; angles 125.93, 125.93, 90.00 degrees
Last column: nearest neighbours and their distance in Å.
Fractional positions:
Ca 0.7500 0.2500 0.5000  8 F 2.44-2.46
Rh 0.5000 0.5000 0.0000  4 F 2.02
F 0.2504 0.7478 0.0009  1 Rh 2.02
F 0.7504 0.2531 0.0008  1 Rh 2.02
F 0.2522 0.2496 0.9991  1 Rh 2.02
F 0.7469 0.7496 0.9992  1 Rh 2.02



# 2
A relaxed structure of MgScPaAl, computed with PBE.

Properties
DFT formation energy = 36.0 meV per atom
Final energy = -21.02 eV per formula unit

Cell lengths 5.0192, 5.0192, 5.0192 Å; angles 60.00, 60.00, 60.00 degrees
Last column: nearest neighbours and their distance in Å.
Fractional positions:
Sc 0.2500 0.2500 0.2500  4 Mg 3.07, 4 Al 3.07
Mg 0.5000 0.5000 0.5000  4 Sc 3.07, 4 Pa 3.07
Pa 0.7500 0.7500 0.7500  4 Mg 3.07, 4 Al 3.07
Al 0.0000 0.0000 0.0000  4 Pa 3.07, 4 Sc 3.07



# 3
A relaxed structure of CaZr2Tl, computed with PBE.

Properties
DFT formation energy = 39.8 meV per atom
Energy above the lowest structure with this stoichiometry = 0.0761 eV per atom
Final energy = -21.31 eV per formula unit

Cell lengths 10.7448, 10.7448, 10.7448 Å; angles 18.24, 18.24, 18.24 degrees
Last column: nearest neighbours and their distance in Å.
Fractional positions:
Tl 0.7463 0.7463 0.7463  3 Zr 3.23, 3 Ca 3.32, 6 Tl 3.41
Ca 0.4976 0.4976 0.4976  3 Tl 3.32, 6 Ca 3.41, 3 Zr 3.54
Zr 0.9990 0.9990 0.9990  9 Zr 3.09-3.41, 3 Tl 3.23
Zr 0.2572 0.2572 0.2572  9 Zr 3.09-3.41



# 4
A relaxed structure of Ac2LaPrEr, computed with PBE.

Properties
DFT formation energy = 226.0 meV per atom
Final energy = -21.36 eV per formula unit

Cell lengths 6.9261, 8.8268, 6.5347 Å; angles 90.00, 90.00, 90.00 degrees
Last column: nearest neighbours and their distance in Å.
Fractional positions:
Ac 0.7145 0.7086 0.7499  1 La 3.30, 2 Er 3.63, 1 Ac 3.68
Ac 0.7146 0.2914 0.7499  1 La 3.30, 2 Er 3.63, 1 Ac 3.68
Ac 0.2854 0.7086 0.2501  1 La 3.30, 2 Er 3.63, 1 Ac 3.68
Ac 0.2855 0.2914 0.2501  1 La 3.30, 2 Er 3.63, 1 Ac 3.68
La 0.5834 0.0000 0.2500  2 Ac 3.30, 2 Er 3.32, 2 La 3.47
La 0.4166 0.0000 0.7500  2 Ac 3.30, 2 Er 3.32, 2 La 3.47
Pr 0.1870 0.5001 0.7501  8 Ac 3.75-4.09, 2 Pr 4.17
Pr 0.8130 0.4999 0.2499  8 Ac 3.75-4.09, 2 Pr 4.17
Er 0.0000 0.0000 0.0000  2 Er 3.27, 2 La 3.32, 4 Ac 3.63
Er 0.0000 0.0000 0.5000  2 Er 3.27, 2 La 3.32, 4 Ac 3.63



# 5
A relaxed structure of AcPmAgAu, computed with PBE.

Properties
DFT formation energy = -514.9 meV per atom
Energy above the lowest structure with this stoichiometry = 0.0000 eV per atom
Final energy = -17.05 eV per formula unit

Cell lengths 4.0648, 4.9044, 6.1353 Å; angles 90.00, 109.35, 90.00 degrees
Last column: nearest neighbours and their distance in Å.
Fractional positions:
Ac 0.8590 0.5000 0.7180  3 Au 3.20-3.29, 4 Ag 3.27
Pm 0.1363 0.0000 0.2726  3 Ag 3.21-3.31, 4 Au 3.24
Ag 0.4219 0.0000 0.8437  2 Au 3.08, 3 Pm 3.21-3.31, 4 Ac 3.27
Au 0.5828 0.5000 0.1656  2 Ag 3.08, 3 Ac 3.20-3.29, 4 Pm 3.24



# 6
A relaxed structure of FeSiTe2C, computed with PBE.

Properties
Final energy = -22.79 eV per formula unit
Formation energy without anion corrections = 1320 meV/atom

Cell lengths 5.3594, 3.4196, 5.3594 Å; angles 90.00, 90.00, 90.00 degrees
Last column: nearest neighbours and their distance in Å.
Fractional positions:
C 0.0000 0.5000 0.0000  2 Si 1.71
Si 0.0000 0.0000 0.0000  2 C 1.71
Te 0.0000 0.0000 0.5000  2 Si 2.68
Te 0.5000 0.0000 0.0000  2 Si 2.68
Fe 0.5000 0.5000 0.5000  8 Te 3.18, 2 Fe 3.42



# 7
A relaxed structure of La2Dy15Ho2, computed with PBE.

Properties
DFT formation energy = 291.0 meV per atom
Final energy = -82.51 eV per formula unit

Cell lengths 8.7307, 8.7307, 8.7307 Å; angles 79.76, 79.76, 79.76 degrees
Last column: nearest neighbours and their distance in Å.
Fractional positions:
La 0.8823 0.8823 0.8823  6 Dy 3.35-3.67, 1 Ho 3.73
La 0.1177 0.1177 0.1177  6 Dy 3.35-3.67, 1 Ho 3.73
Dy 0.0000 0.5000 0.0000  2 La 3.35, 8 Dy 3.36-3.41
Dy 0.0000 0.0000 0.5000  2 La 3.35, 8 Dy 3.36-3.41
Dy 0.5000 0.0000 0.0000  2 La 3.35, 8 Dy 3.36-3.41
Dy 0.3049 0.0000 0.6951  6 Dy 3.27-3.41
Dy 0.6951 0.3049 0.0000  6 Dy 3.27-3.41
Dy 0.0000 0.6951 0.3049  6 Dy 3.27-3.41
Dy 0.3049 0.6951 0.0000  6 Dy 3.27-3.41
Dy 0.0000 0.3049 0.6951  6 Dy 3.27-3.41
Dy 0.6951 0.0000 0.3049  6 Dy 3.27-3.41
Dy 0.3710 0.8448 0.3710  6 Dy 3.23-3.36
Dy 0.3710 0.3710 0.8448  6 Dy 3.23-3.36
Dy 0.8448 0.3710 0.3710  6 Dy 3.23-3.36
Dy 0.6290 0.1552 0.6290  6 Dy 3.23-3.36
Dy 0.6290 0.6290 0.1552  6 Dy 3.23-3.36
Dy 0.1552 0.6290 0.6290  6 Dy 3.23-3.36
Ho 0.6706 0.6706 0.6706  1 La 3.73, 12 Dy 3.90-4.14
Ho 0.3294 0.3294 0.3294  1 La 3.73, 12 Dy 3.90-4.14



# 8
A relaxed structure of IrSe2, computed with PBE.

Properties
Final energy = -16.60 eV per formula unit
Formation energy without anion corrections = -255 meV/atom

Cell lengths 3.8570, 5.1517, 6.0274 Å; angles 90.00, 90.00, 90.00 degrees
Last column: nearest neighbours and their distance in Å.
Fractional positions:
Ir 0.0000 0.0000 0.0000  6 Se 2.51-2.52
Ir 0.5000 0.5000 0.5000  6 Se 2.51-2.52
Se 0.0000 0.2271 0.6302  3 Ir 2.51-2.52
Se 0.0000 0.7729 0.3698  3 Ir 2.51-2.52
Se 0.5000 0.7271 0.8698  3 Ir 2.51-2.52
Se 0.5000 0.2729 0.1302  3 Ir 2.51-2.52



# 9
A relaxed structure of K2Rb6Br3, computed with PBE.

Properties
Final energy = -22.86 eV per formula unit
Formation energy without anion corrections = -894 meV/atom

Cell lengths 8.6138, 4.8580, 17.9373 Å; angles 81.75, 84.73, 73.50 degrees
Last column: nearest neighbours and their distance in Å.
Fractional positions:
K 0.2840 0.5147 0.6695  9 Rb 4.79-5.29, 2 K 4.86, 2 Br 5.07-5.16
K 0.7160 0.4853 0.3305  9 Rb 4.79-5.29, 2 K 4.86, 2 Br 5.07-5.16
Rb 0.8227 0.1827 0.8182  3 Br 3.41-3.62
Rb 0.1773 0.8173 0.1818  3 Br 3.41-3.62
Rb 0.2381 0.1620 0.4362  5 K 4.79-4.94, 7 Rb 4.86-5.20
Rb 0.7619 0.8380 0.5638  5 K 4.79-4.94, 7 Rb 4.86-5.20
Rb 0.2849 0.3880 0.9426  5 Br 3.44-3.50
Rb 0.7151 0.6120 0.0574  5 Br 3.44-3.50
Br 0.0000 0.0000 0.0000  6 Rb 3.49-3.62
Br 0.4409 0.2176 0.1185  5 Rb 3.41-3.46
Br 0.5591 0.7824 0.8815  5 Rb 3.41-3.46



# 10
A relaxed structure of Be3Ag, computed with PBE.

Properties
DFT formation energy = 193.5 meV per atom
Energy above the lowest structure with this stoichiometry = 0.0526 eV per atom
Final energy = -13.26 eV per formula unit

Cell lengths 3.4897, 3.4897, 3.4897 Å; angles 90.00, 90.00, 90.00 degrees
Last column: nearest neighbours and their distance in Å.
Fractional positions:
Be 0.0000 0.5000 0.5000  8 Be 2.47, 4 Ag 2.47
Be 0.5000 0.0000 0.5000  8 Be 2.47, 4 Ag 2.47
Be 0.5000 0.5000 0.0000  8 Be 2.47, 4 Ag 2.47
Ag 0.0000 0.0000 0.0000  12 Be 2.47



# 11
A relaxed structure of PrPaPb2, computed with PBE.

Properties
DFT formation energy = 97.4 meV per atom
Energy above the lowest structure with this stoichiometry = 0.2786 eV per atom
Final energy = -21.30 eV per formula unit

Cell lengths 3.3983, 3.3983, 12.3967 Å; angles 82.12, 82.12, 60.00 degrees
Last column: nearest neighbours and their distance in Å.
Fractional positions:
Pb 0.0896 0.0896 0.7312  1 Pr 3.29, 6 Pb 3.40, 3 Pa 3.44
Pb 0.9104 0.9104 0.2688  1 Pr 3.29, 6 Pb 3.40, 3 Pa 3.44
Pr 0.0000 0.0000 0.0000  2 Pb 3.29, 6 Pr 3.40
Pa 0.5000 0.5000 0.5000  6 Pa 3.40, 6 Pb 3.44



# 12
A relaxed structure of CrRuPt2Pb, computed with PBE.

Properties
DFT formation energy = 2154.8 meV per atom
Final energy = -23.92 eV per formula unit

Cell lengths 4.9841, 4.8700, 4.9841 Å; angles 90.00, 90.00, 90.00 degrees
Last column: nearest neighbours and their distance in Å.
Fractional positions:
Pb 0.0000 0.0000 0.0000  2 Cr 2.44, 4 Pt 2.49
Ru 0.5000 0.5000 0.5000  8 Pt 3.48, 4 Cr 3.52
Pt 0.0000 0.0000 0.5000  2 Pb 2.49
Pt 0.5000 0.0000 0.0000  2 Pb 2.49
Cr 0.0000 0.5000 0.0000  2 Pb 2.44